Li2HfSb2 PBE relaxed; symmetry = P4/mbm, No. 127; uncorrected formation energy = -155 kJ/mol of formula units; uncorrected energy = -23.64 eV/f.u.
1.0
8.0047 0.0000 0.0000
0.0000 8.0047 0.0000
0.0000 0.0000 3.2791
Li Sb Hf
4 4 2
Direct
0.8748 0.3748 0.5000
0.1252 0.6252 0.5000
0.6252 0.8748 0.5000
0.3748 0.1252 0.5000
0.1744 0.3256 0.0000
0.8256 0.6744 0.0000
0.3256 0.8256 0.0000
0.6744 0.1744 0.0000
0.0000 0.0000 0.0000
0.5000 0.5000 0.0000



As2PRh PBE relaxed; symmetry = Amm2, No. 38; ΔE_f = -113 meV/atom; uncorrected energy = -22.51 eV/f.u.
1.0
-0.1566 -2.4469 3.3267
2.6086 -2.7386 -1.8916
4.0153 0.9683 0.9012
Rh P As
1 1 2
Direct
0.5000 0.7215 0.7215
0.0000 0.5322 0.5322
0.0000 0.9312 0.9311
0.5000 0.3151 0.3152